# TiReN3

A geometry-optimized TiReN3 structure (PBE-GGA, Alexandria via LeMat-Bulk).

Results
DOS(E_F) = 6.7 states/eV per cell
Energy relative to the elements, uncorrected = -2.05 eV per formula unit
SG = P2_1/c, No. 14
Total energy = -9.473 eV per atom
Crystal system = monoclinic

abc: 6.731 5.267 7.256
angles: 90.00 112.66 90.00
Fractional positions:
Ti: 0.183 0.168 0.108
Ti: 0.183 0.332 0.608
Ti: 0.817 0.668 0.392
Ti: 0.817 0.832 0.892
Re: 0.429 0.723 0.543
Re: 0.429 0.777 0.043
Re: 0.571 0.223 0.957
Re: 0.571 0.277 0.457
N: 0.127 0.659 0.470
N: 0.127 0.841 0.970
N: 0.282 0.102 0.408
N: 0.282 0.398 0.908
N: 0.460 0.589 0.296
N: 0.460 0.911 0.796
N: 0.540 0.089 0.204
N: 0.540 0.411 0.704
N: 0.718 0.602 0.092
N: 0.718 0.898 0.592
N: 0.873 0.159 0.030
N: 0.873 0.341 0.530

# SiRuCl4

A geometry-optimized SiRuCl4 structure (PBE-GGA, Alexandria via LeMat-Bulk).

Results
DOS(E_F) = 7.1 states/eV per cell
Energy relative to the elements, uncorrected = 7.56 eV per formula unit
SG = F-43m, No. 216
Total energy = -2.421 eV per atom
Crystal system = cubic

abc: 5.730 5.730 5.730
angles: 60.00 60.00 60.00
Fractional positions:
Si: 0.000 0.000 0.000
Ru: 0.250 0.250 0.250
Cl: 0.128 0.624 0.624
Cl: 0.624 0.128 0.624
Cl: 0.624 0.624 0.128
Cl: 0.624 0.624 0.624

# K2Ca2Ir

A geometry-optimized K2Ca2Ir structure (PBE-GGA, Alexandria via LeMat-Bulk).

Results
DOS(E_F) = 14.7 states/eV per cell
SG = I4/mmm, No. 139
Total energy = -1.941 eV per atom
ΔE_f = 5.4 eV per formula unit
E above lowest polymorph = 0.8890 eV per atom
Crystal system = tetragonal

abc: 4.680 4.680 20.582
angles: 90.00 90.00 90.00
Fractional positions:
K: 0.000 0.000 0.076
K: 0.000 0.000 0.924
K: 0.500 0.500 0.424
K: 0.500 0.500 0.576
Ca: 0.000 0.500 0.250
Ca: 0.000 0.500 0.750
Ca: 0.500 0.000 0.250
Ca: 0.500 0.000 0.750
Ir: 0.000 0.000 0.500
Ir: 0.500 0.500 0.000

# TaTc7

A geometry-optimized TaTc7 structure (PBE-GGA, Alexandria via LeMat-Bulk).

Results
DOS(E_F) = 11.4 states/eV per cell
SG = Fm-3m, No. 225
Total energy = -10.487 eV per atom
ΔE_f = 0.5 eV per formula unit
Crystal system = cubic

abc: 5.543 5.543 5.543
angles: 60.00 60.00 60.00
Fractional positions:
Ta: 0.000 0.000 0.000
Tc: 0.000 0.000 0.500
Tc: 0.000 0.500 0.000
Tc: 0.000 0.500 0.500
Tc: 0.500 0.000 0.000
Tc: 0.500 0.000 0.500
Tc: 0.500 0.500 0.000
Tc: 0.500 0.500 0.500

Q: Which of these has the highest DOS(E_F)?
A: K2Ca2Ir

Q: The lowest total energy belongs to which entry?
A: TaTc7

Q: What is the formula in the third record?
A: K2Ca2Ir